1.
ErCo5 | SCAN | PBEsol geometry

Computed properties:
The calculation puts the energy of formation at -0.087 eV per atom.

a b c (Å): 4.7986 4.7986 3.8902
angles (deg): 90.00 90.00 120.00
Space group P6/mmm (No. 191)
Symmetry-distinct sites (fractional):
Er 0.0000 0.0000 0.0000 (multiplicity 1)
Co 0.0000 0.5000 0.5000 (multiplicity 3)
Co 0.3333 0.6667 0.0000 (multiplicity 2)

---

2.
Er2Co7 | SCAN | PBEsol geometry

Computed properties:
The calculation puts the energy of formation at -0.125 eV per atom.

a b c (Å): 4.8410 4.8410 35.4357
angles (deg): 90.00 90.00 120.00
Space group R-3m (No. 166, hexagonal axes)
Symmetry-distinct sites (fractional):
Er 0.0000 0.0000 0.0516 (multiplicity 6)
Er 0.0000 0.0000 0.1482 (multiplicity 6)
Co 0.0000 0.0000 0.2785 (multiplicity 6)
Co 0.0000 0.0000 0.3887 (multiplicity 6)
Co 0.0000 0.0000 0.5000 (multiplicity 3)
Co 0.0000 0.5000 0.0000 (multiplicity 9)
Co 0.0009 0.5004 0.8906 (multiplicity 18)

---

3.
Er12Co7 | SCAN | PBEsol geometry

Computed properties:
The calculation puts the energy of formation at -0.152 eV per atom.

a b c (Å): 8.046 10.877 10.700
angles (deg): 90.00 125.01 90.00
Space group P2_1/c (No. 14)
Symmetry-distinct sites (fractional):
Er 0.005 0.160 0.342 (multiplicity 4)
Er 0.235 0.571 0.807 (multiplicity 4)
Er 0.253 0.199 0.175 (multiplicity 4)
Er 0.263 0.705 0.538 (multiplicity 4)
Er 0.269 0.070 0.912 (multiplicity 4)
Er 0.345 0.504 0.145 (multiplicity 4)
Co 0.000 0.000 0.000 (multiplicity 2)
Co 0.007 0.099 0.599 (multiplicity 4)
Co 0.398 0.683 0.343 (multiplicity 4)
Co 0.411 0.177 0.473 (multiplicity 4)

---

4.
ErGa2Co3 | SCAN | PBEsol geometry

Computed properties:
The calculation puts the energy of formation at -0.334 eV per atom.

a b c (Å): 5.1020 5.1020 3.7268
angles (deg): 90.00 90.00 120.00
Space group P6/mmm (No. 191)
Symmetry-distinct sites (fractional):
Er 0.0000 0.0000 0.0000 (multiplicity 1)
Ga 0.3333 0.6667 0.0000 (multiplicity 2)
Co 0.0000 0.5000 0.5000 (multiplicity 3)

---

5.
Er2GaCo2 | SCAN | PBEsol geometry

Computed properties:
The calculation puts the energy of formation at -0.409 eV per atom.

a b c (Å): 3.972 5.299 8.065
angles (deg): 90.00 90.00 90.00
Space group Immm (No. 71)
Symmetry-distinct sites (fractional):
Er 0.000 0.000 0.206 (multiplicity 4)
Ga 0.000 0.500 0.000 (multiplicity 2)
Co 0.000 0.282 0.500 (multiplicity 4)

---

6.
Er4Ga16Co3 | SCAN | PBEsol geometry

Computed properties:
The calculation puts the energy of formation at -0.561 eV per atom.

a b c (Å): 5.901 5.901 10.864
angles (deg): 90.00 90.00 90.00
Space group P4/mmm (No. 123)
Symmetry-distinct sites (fractional):
Er 0.000 0.500 0.194 (multiplicity 4)
Ga 0.000 0.000 0.195 (multiplicity 2)
Ga 0.220 0.220 0.000 (multiplicity 4)
Ga 0.250 0.250 0.384 (multiplicity 8)
Ga 0.500 0.500 0.218 (multiplicity 2)
Co 0.000 0.500 0.500 (multiplicity 2)
Co 0.500 0.500 0.000 (multiplicity 1)

---

7.
ErGa5Co | SCAN | PBEsol geometry

Computed properties:
The calculation puts the energy of formation at -0.507 eV per atom.

a b c (Å): 4.132 4.132 6.681
angles (deg): 90.00 90.00 90.00
Space group P4/mmm (No. 123)
Symmetry-distinct sites (fractional):
Er 0.000 0.000 0.000 (multiplicity 1)
Ga 0.000 0.500 0.309 (multiplicity 4)
Ga 0.500 0.500 0.000 (multiplicity 1)
Co 0.000 0.000 0.500 (multiplicity 1)

---

8.
Er2Ga3Co | SCAN | PBEsol geometry

Computed properties:
The calculation puts the energy of formation at -0.608 eV per atom.

a b c (Å): 5.3552 5.3552 8.2471
angles (deg): 90.00 90.00 120.00
Space group P6_3/mmc (No. 194)
Symmetry-distinct sites (fractional):
Er 0.3333 0.6667 0.0530 (multiplicity 4)
Ga 0.1625 0.3249 0.7500 (multiplicity 6)
Co 0.0000 0.0000 0.0000 (multiplicity 2)

---

9.
Er2Ga8Co | SCAN | PBEsol geometry

Computed properties:
The calculation puts the energy of formation at -0.540 eV per atom.

a b c (Å): 4.142 4.142 10.877
angles (deg): 90.00 90.00 90.00
Space group P4/mmm (No. 123)
Symmetry-distinct sites (fractional):
Er 0.000 0.000 0.194 (multiplicity 2)
Ga 0.000 0.500 0.000 (multiplicity 2)
Ga 0.000 0.500 0.383 (multiplicity 4)
Ga 0.500 0.500 0.194 (multiplicity 2)
Co 0.000 0.000 0.500 (multiplicity 1)

---

10.
Er3GaCoS7 | SCAN | PBEsol geometry

Computed properties:
For the formation energy (no corrections), the calculation gives -20.20 eV per formula unit.

a b c (Å): 9.2904 9.2904 6.0441
angles (deg): 90.00 90.00 120.00
Space group P6_3 (No. 173)
Symmetry-distinct sites (fractional):
Er 0.1603 0.7865 0.0000 (multiplicity 6)
Ga 0.3333 0.6667 0.5736 (multiplicity 2)
Co 0.0000 0.0000 0.1582 (multiplicity 2)
S 0.0804 0.5204 0.7301 (multiplicity 6)
S 0.0992 0.8740 0.4056 (multiplicity 6)
S 0.3333 0.6667 0.2051 (multiplicity 2)

---

11.
GdErCo4 | SCAN | PBEsol geometry

Computed properties:
The calculation puts the energy of formation at -0.150 eV per atom.

a b c (Å): 7.020 7.020 7.020
angles (deg): 90.00 90.00 90.00
Space group F-43m (No. 216)
Symmetry-distinct sites (fractional):
Gd 0.000 0.000 0.000 (multiplicity 4)
Er 0.250 0.250 0.750 (multiplicity 4)
Co 0.125 0.125 0.375 (multiplicity 16)

---

12.
Er3Co4Ge13 | SCAN | PBEsol geometry

Computed properties:
The calculation puts the energy of formation at -0.416 eV per atom.

a b c (Å): 8.625 8.625 8.625
angles (deg): 90.00 90.00 90.00
Space group Pm-3n (No. 223)
Symmetry-distinct sites (fractional):
Er 0.000 0.250 0.500 (multiplicity 6)
Co 0.250 0.250 0.250 (multiplicity 8)
Ge 0.000 0.000 0.000 (multiplicity 2)
Ge 0.000 0.304 0.153 (multiplicity 24)

---

Short version: magnetization = 7.73 59.28 0.00 2.57 1.91 0.00 0.00 1.09 0.00 2.00 12.66 0.00 Bohr magnetons per cell, in the order given.
Short version: DOS(E_F) = 1.130 1.010 0.710 0.551 0.572 0.159 0.250 0.400 0.325 0.089 0.885 0.300 states/eV per atom, in the order given.